First-principles (PBE-GGA) data for an optimized crystal structure of Sr2CoPb, as listed in Alexandria via LeMat-Bulk.

The space group is Amm2 (38). As for the density: 5.7 Mg/m³. The calculation puts the formation enthalpy at 0 K at -1 kJ/mol of formula units.

Unit cell a=4.5585 b=4.9016 c=11.5929 alpha=90.00 beta=90.00 gamma=90.00
Closest atoms and distances in Å follow each position.
Sites, in units of the cell vectors:
Sr (0.0000, 0.0000, 0.0000)  3 Co 3.38-3.48, 4 Pb 3.50
Sr (0.0000, 0.5000, 0.5000)  3 Co 3.38-3.48, 4 Pb 3.50
Sr (0.5000, 0.0000, 0.2872)  3 Pb 3.36-3.49, 4 Co 3.50
Sr (0.5000, 0.5000, 0.7872)  3 Pb 3.36-3.49, 4 Co 3.50
Co (0.0000, 0.0000, 0.7002)  2 Pb 2.62
Co (0.0000, 0.5000, 0.2002)  2 Pb 2.62
Pb (0.5000, 0.0000, 0.5884)  2 Co 2.62
Pb (0.5000, 0.5000, 0.0884)  2 Co 2.62